[1]
First-principles (PBE) data for a relaxed Sr2Tl7In2 crystal, as listed in Alexandria.

Cell: 6.786 8.826 6.786 Å, 90.00 82.27 90.00°
Fractional coordinates of all 11 atoms:
Sr (0.798, 0.500, 0.798)
Sr (0.202, 0.500, 0.202)
Tl (0.000, 0.196, 0.500)
Tl (0.500, 0.804, 0.000)
Tl (0.000, 0.804, 0.500)
Tl (0.500, 0.196, 0.000)
Tl (0.000, 0.000, 0.000)
Tl (0.500, 0.686, 0.500)
Tl (0.500, 0.314, 0.500)
In (0.666, 0.000, 0.334)
In (0.334, 0.000, 0.666)

Symmetry: Cmmm (65)
E_form (meV/atom): 9
D(E_F) (states/eV/atom): 0.63
DFT total energy (eV for the cell shown): -25.3

***

[2]
First-principles (PBE) data for a relaxed Sr3Tl12In crystal, as listed in Alexandria.

Cell: 5.373 5.373 17.278 Å, 90.00 90.00 90.00°
Fractional coordinates of all 16 atoms:
Sr (0.000, 0.000, 0.239)
Sr (0.000, 0.000, 0.500)
Sr (0.000, 0.000, 0.761)
Tl (0.500, 0.500, 0.000)
Tl (0.500, 0.500, 0.245)
Tl (0.500, 0.500, 0.500)
Tl (0.500, 0.500, 0.755)
Tl (0.500, 0.000, 0.112)
Tl (0.500, 0.000, 0.372)
Tl (0.500, 0.000, 0.628)
Tl (0.500, 0.000, 0.888)
Tl (0.000, 0.500, 0.112)
Tl (0.000, 0.500, 0.372)
Tl (0.000, 0.500, 0.628)
Tl (0.000, 0.500, 0.888)
In (0.000, 0.000, 0.000)

Symmetry: P4/mmm (123)
E_form (meV/atom): -186
D(E_F) (states/eV/atom): 0.51
DFT total energy (eV for the cell shown): -39.2

***

[3]
First-principles (PBE) data for a relaxed SrTlIn crystal, as listed in Alexandria.

Cell: 8.150 5.149 6.619 Å, 67.10 128.15 90.00°
Fractional coordinates of all 6 atoms:
Sr (0.020, 0.473, 0.280)
Sr (0.608, 0.385, 0.456)
Tl (0.210, 0.085, 0.057)
Tl (0.023, 0.774, 0.680)
In (0.590, 0.096, 0.035)
In (0.425, 0.763, 0.702)

Symmetry: Cm (8)
E_form (meV/atom): -375
D(E_F) (states/eV/atom): 0.46
DFT total energy (eV for the cell shown): -15.8

***

[4]
First-principles (PBE) data for a relaxed SrTl2In2 crystal, as listed in Alexandria.

Cell: 8.795 8.795 4.043 Å, 90.00 90.00 90.00°
Fractional coordinates of all 10 atoms:
Sr (0.000, 0.000, 0.000)
Sr (0.500, 0.500, 0.000)
Tl (0.175, 0.675, 0.500)
Tl (0.675, 0.825, 0.500)
Tl (0.825, 0.325, 0.500)
Tl (0.325, 0.175, 0.500)
In (0.377, 0.877, 0.000)
In (0.877, 0.623, 0.000)
In (0.623, 0.123, 0.000)
In (0.123, 0.377, 0.000)

Symmetry: P4/mbm (127)
E_form (meV/atom): -145
D(E_F) (states/eV/atom): 0.61
DFT total energy (eV for the cell shown): -25.2

***

- The highest DFT total energy belongs to which entry?
  SrTlIn

***

- Look up the D(E_F) of the first one.
  0.63 states/eV/atom

***

- Which of these has the lowest D(E_F)?
  SrTlIn

***

- Which of these has the lowest DFT total energy?
  Sr3Tl12In